1.
This record from Alexandria describes a geometry-optimized Zr3Mo structure. The functional is PBE.

Output
**Crystal system**: orthorhombic

Geometry as extended XYZ:
```
4
Lattice="-0.708 4.900 0.708 -2.535 -0.157 -1.448 -2.732 -1.103 4.901" Properties=species:S:1:pos:R:3 pbc="T T T"
Zr -2.138 2.163 0.557
Zr -2.276 1.674 3.801
Zr -2.578 -0.607 1.627
Mo -2.626 -1.060 4.710
```

***

2.
This record from Alexandria describes a geometry-optimized Zr5Mo4 structure. The functional is PBE.

Output
**Crystal system**: tetragonal

Geometry as extended XYZ:
```
9
Lattice="-5.140 5.140 1.635 5.140 -5.140 1.635 5.140 5.140 -1.635" Properties=species:S:1:pos:R:3 pbc="T T T"
Zr 3.406 3.406 0.000
Zr 1.734 -1.734 1.635
Zr -1.734 1.734 1.635
Zr 1.734 1.734 1.635
Zr 0.000 0.000 0.000
Mo 6.677 0.000 0.000
Mo 3.602 0.000 0.000
Mo 0.000 6.677 0.000
Mo 0.000 3.602 0.000
```

***

| no. | size of the total moment (μB per cell) | energy above the most stable polymorph in this dataset (meV per atom) |
| --- | --- | --- |
| 1 | 0.0 | 213.9 |
| 2 | 0.0 | 0.0 |